The following is a PBE calculation of an optimized crystal structure of DyHoAl2, from the Open Quantum Materials Database.

CIF file:
```
data_DyHoAl2
_cell_length_a 5.055
_cell_length_b 6.644
_cell_length_c 11.239
_cell_angle_alpha 90.00
_cell_angle_beta 90.00
_cell_angle_gamma 90.00
_space_group_name_H-M_alt 'A m m 2'
_space_group_IT_number 38
_space_group_name_Hall 'A 2 -2'
loop_
_atom_site_label
_atom_site_fract_x
_atom_site_fract_y
_atom_site_fract_z
Dy1 0.000 0.232 0.000
Ho1 0.000 0.000 0.259
Ho2 0.500 0.000 0.583
Al1 0.000 0.000 0.753
Al2 0.500 0.000 0.086
Al3 0.500 0.215 0.838
```

Results
The volume comes out at 377.44 Å³ per cell. The energy above the most stable polymorph in this dataset is 80 kJ/mol of formula units.